A relaxed La2InAs crystal. Source: the Alexandria database, functional PBE.

Geometry as POSCAR:
```
La2InAs
1.0
-4.1176 -4.0603 2.6941
1.8094 -3.4239 5.0697
0.1240 6.0771 -1.9373
La As In
2 1 1
Direct
0.0000 0.0000 0.0000 La
0.2500 0.7500 0.5000 La
0.5000 0.5000 0.0000 As
0.7500 0.2500 0.5000 In
```

## Properties
Theoretical density, g/cm³: 6.839
N(E_F), states/eV/f.u.: 3.59
ΔE_f, eV per atom: -0.7052
E above lowest polymorph, meV per atom: 229

---

A relaxed SmHoGa2 crystal. Source: the Alexandria database, functional PBE.

Geometry as POSCAR:
```
SmHoGa2
1.0
-0.4718 -4.3700 0.0137
0.1175 0.0001 4.0777
-5.2346 2.7721 0.1508
Ho Sm Ga
1 1 2
Direct
0.4457 0.5000 0.4290 Ho
0.7227 0.0000 0.9858 Sm
0.0068 0.0000 0.5506 Ga
0.1558 0.5000 0.8526 Ga
```

## Properties
Theoretical density, g/cm³: 7.651
N(E_F), states/eV/f.u.: 3.33
ΔE_f, eV per atom: -0.6151
E above lowest polymorph, meV per atom: 0

---

A relaxed K2Be2CrSe4 crystal. Source: the Alexandria database, functional PBE.

Geometry as POSCAR:
```
K2Be2CrSe4
1.0
-1.1851 -3.0453 -1.8543
5.1795 -4.1084 3.4370
-5.9856 1.4387 5.2693
Se Be Cr K
4 2 1 2
Direct
0.7840 0.8281 0.5680 Se
0.5352 0.7991 0.0703 Se
0.4648 0.2009 0.9297 Se
0.2160 0.1719 0.4320 Se
0.6786 0.9863 0.3571 Be
0.3214 0.0137 0.6429 Be
0.0000 0.0000 0.0000 Cr
0.8765 0.4737 0.7529 K
0.1235 0.5263 0.2471 K
```

## Properties
Energy relative to the elements, uncorrected, meV per atom: -835.7
Theoretical density, g/cm³: 3.686

---

A relaxed ErPaN crystal. Source: the Alexandria database, functional PBE.

Geometry as POSCAR:
```
ErPaN
1.0
3.3152 0.0000 0.0000
0.0000 8.6577 0.0000
0.0000 0.0000 9.2922
Er N Pa
4 4 4
Direct
0.2500 0.6799 0.9960 Er
0.2500 0.8201 0.4960 Er
0.7500 0.3201 0.0040 Er
0.7500 0.1799 0.5040 Er
0.2500 0.1273 0.0462 N
0.7500 0.8727 0.9538 N
0.2500 0.3727 0.5462 N
0.7500 0.6273 0.4538 N
0.7500 0.5108 0.6712 Pa
0.2500 0.0108 0.8288 Pa
0.7500 0.9892 0.1712 Pa
0.2500 0.4892 0.3288 Pa
```

## Properties
Energy relative to the elements, uncorrected, meV per atom: -644.3
Theoretical density, g/cm³: 10.268
N(E_F), states/eV/f.u.: 3.99
E above lowest polymorph, meV per atom: 0

---

A relaxed La2TlCl2 crystal. Source: the Alexandria database, functional PBE.

Geometry as POSCAR:
```
La2TlCl2
1.0
-3.2696 -2.6381 1.2057
2.8136 -3.3263 0.3516
1.0197 -1.1439 8.1846
Cl La Tl
2 2 1
Direct
0.7500 0.2500 0.5000 Cl
0.2500 0.7500 0.5000 Cl
0.3775 0.3775 0.2449 La
0.6225 0.6225 0.7551 La
0.0000 0.0000 0.0000 Tl
```

## Properties
Energy relative to the elements, uncorrected, meV per atom: -1313.2
Theoretical density, g/cm³: 6.218
N(E_F), states/eV/f.u.: 3.17
E above lowest polymorph, meV per atom: 96

---

A relaxed CaSn4Pb crystal. Source: the Alexandria database, functional PBE.

Geometry as POSCAR:
```
CaSn4Pb
1.0
-3.4416 -5.0115 -1.6867
-1.0182 -4.6614 4.1279
-5.7529 -0.8447 2.4485
Ca Sn Pb
1 4 1
Direct
0.0000 0.0000 0.0000 Ca
0.1249 0.6250 0.6250 Sn
0.6250 0.1249 0.6250 Sn
0.6250 0.6250 0.6250 Sn
0.6250 0.6250 0.1249 Sn
0.2500 0.2500 0.2500 Pb
```

## Properties
Theoretical density, g/cm³: 6.753
N(E_F), states/eV/f.u.: 0.56
ΔE_f, eV per atom: -0.1745
E above lowest polymorph, meV per atom: 9

---

A relaxed In3Cu5I12 crystal. Source: the Alexandria database, functional PBE.

Geometry as POSCAR:
```
In3Cu5I12
1.0
15.2992 0.0000 0.0000
-5.0997 14.4243 0.0000
-5.0997 -7.2121 12.4918
In I Cu
12 48 20
Direct
0.7500 0.3750 0.1250 In
0.2500 0.6250 0.8750 In
0.2500 0.1250 0.3750 In
0.8750 0.7500 0.1250 In
0.6250 0.2500 0.3750 In
0.1250 0.2500 0.8750 In
0.3750 0.7500 0.6250 In
0.6250 0.3750 0.7500 In
0.3750 0.6250 0.2500 In
0.1250 0.8750 0.7500 In
0.7500 0.8750 0.6250 In
0.8750 0.1250 0.2500 In
0.0193 0.6164 0.6998 I
0.4030 0.3836 0.5834 I
0.4166 0.3002 0.3195 I
0.1998 0.5193 0.6164 I
0.8836 0.3002 0.4807 I
0.8195 0.9030 0.0193 I
0.3002 0.8836 0.9807 I
0.5834 0.8836 0.4030 I
0.5193 0.1998 0.1164 I
0.1805 0.0970 0.9807 I
0.4030 0.0193 0.3195 I
0.5193 0.3195 0.9030 I
0.6164 0.5970 0.9166 I
0.1805 0.0834 0.6998 I
0.9030 0.0834 0.8836 I
0.3836 0.9807 0.8002 I
0.8002 0.3195 0.9166 I
0.3002 0.4166 0.8195 I
0.0970 0.1805 0.4807 I
0.5970 0.9807 0.6805 I
0.1998 0.6805 0.0834 I
0.3836 0.4030 0.0834 I
0.8195 0.9166 0.3002 I
0.9807 0.5970 0.1805 I
0.3195 0.5193 0.4030 I
0.1164 0.6998 0.5193 I
0.4807 0.8002 0.8836 I
0.5970 0.6164 0.4166 I
0.8836 0.5834 0.9030 I
0.6998 0.5834 0.1805 I
0.6805 0.4807 0.5970 I
0.6164 0.0193 0.1998 I
0.9807 0.3836 0.3002 I
0.0970 0.9166 0.1164 I
0.0193 0.4030 0.8195 I
0.9166 0.0970 0.6164 I
0.4807 0.6805 0.0970 I
0.1164 0.4166 0.0970 I
0.8002 0.4807 0.3836 I
0.6998 0.1164 0.0193 I
0.9166 0.8195 0.8002 I
0.0834 0.1805 0.1998 I
0.3195 0.8002 0.4166 I
0.6805 0.1998 0.5834 I
0.4166 0.1164 0.5970 I
0.0834 0.9030 0.3836 I
0.9030 0.8195 0.5193 I
0.5834 0.6998 0.6805 I
0.0000 0.0000 0.0000 Cu
0.3750 0.2500 0.1250 Cu
0.6250 0.7500 0.8750 Cu
0.5000 0.0000 0.5000 Cu
0.0000 0.5000 0.0000 Cu
0.5000 0.5000 0.5000 Cu
0.2500 0.8750 0.1250 Cu
0.6250 0.8750 0.2500 Cu
0.2500 0.3750 0.6250 Cu
0.0000 0.0000 0.5000 Cu
0.1250 0.7500 0.3750 Cu
0.5000 0.0000 0.0000 Cu
0.3750 0.1250 0.7500 Cu
0.7500 0.1250 0.8750 Cu
0.8750 0.2500 0.6250 Cu
0.7500 0.6250 0.3750 Cu
0.1250 0.3750 0.2500 Cu
0.8750 0.6250 0.7500 Cu
0.5000 0.5000 0.0000 Cu
0.0000 0.5000 0.5000 Cu
```

## Properties
Energy relative to the elements, uncorrected, meV per atom: -168.6
Theoretical density, g/cm³: 5.265
N(E_F), states/eV/f.u.: 32.15

---

A relaxed NdGaNi3 crystal. Source: the Alexandria database, functional PBE.

Geometry as POSCAR:
```
NdGaNi3
1.0
-2.1378 3.4721 1.8059
-4.2436 -3.9230 2.5189
3.5537 -0.5115 5.1903
Ga Ni Nd
2 6 2
Direct
0.0000 0.0000 0.5000 Ga
0.0000 0.5000 0.0000 Ga
0.5000 0.5000 0.0000 Ni
0.0000 0.7506 0.7506 Ni
0.0000 0.2494 0.2494 Ni
0.0000 0.7494 0.2506 Ni
0.5000 0.0000 0.5000 Ni
0.0000 0.2506 0.7494 Ni
0.5000 0.0000 0.0000 Nd
0.5000 0.5000 0.5000 Nd
```

## Properties
Theoretical density, g/cm³: 7.301
N(E_F), states/eV/f.u.: 5.51
ΔE_f, eV per atom: -0.0045
E above lowest polymorph, meV per atom: 259

---

A relaxed CaTbCdPb crystal. Source: the Alexandria database, functional PBE.

Geometry as POSCAR:
```
CaTbCdPb
1.0
-3.0341 -0.9735 4.3907
-2.2722 -4.8763 0.7002
1.8336 -3.3145 3.8837
Tb Pb Ca Cd
1 1 1 1
Direct
0.5000 0.5000 0.5000 Tb
0.2500 0.2500 0.2500 Pb
0.0000 0.0000 0.0000 Ca
0.7500 0.7500 0.7500 Cd
```

## Properties
Theoretical density, g/cm³: 7.628
N(E_F), states/eV/f.u.: 3.77
ΔE_f, eV per atom: -0.4095

---

A relaxed LiCa2SnRu crystal. Source: the Alexandria database, functional PBE.

Geometry as POSCAR:
```
LiCa2SnRu
1.0
5.3405 0.0000 0.0000
0.0000 4.3518 0.0000
0.0000 0.0000 5.3405
Ca Li Ru Sn
2 1 1 1
Direct
0.5000 0.0000 0.0000 Ca
0.0000 0.0000 0.5000 Ca
0.0000 0.0000 0.0000 Li
0.0000 0.5000 0.0000 Ru
0.5000 0.5000 0.5000 Sn
```

## Properties
Theoretical density, g/cm³: 4.106
N(E_F), states/eV/f.u.: 4.23
ΔE_f, eV per atom: 0.3527

---

Q: Which value of theoretical density does entry 3 give?
A: 3.686 g/cm³

---

Q: Which value of theoretical density does entry 8 give?
A: 7.301 g/cm³